K2BaLa (PBE, relaxed); DFT total energy = -1.91 eV per atom
1.0
3.9169 0.0000 0.0000
0.0000 3.9169 0.0000
0.0000 0.0000 14.5736
K Ba La
2 1 1
direct
0.0000 0.0000 0.2377
0.0000 0.0000 0.7623
0.5000 0.5000 0.5000
0.5000 0.5000 0.0000